Record 1
VASP calculation (PBE) on Ca3CuPb after structural relaxation.

abc: 5.470 5.470 5.470
angles: 90.00 90.00 90.00
Space group Pm-3m (No. 221)
Unique sites:
Ca1 0.000 0.000 0.500 x3
Cu1 0.000 0.000 0.000 x1
Pb1 0.500 0.500 0.500 x1

Output
DOS(E_F)	0.618	states/eV/atom
energy relative to the lowest polymorph listed for this composition	0.000	eV/atom
formation enthalpy at 0 K	-0.13	eV per atom

Record 2
VASP calculation (PBE) on Zn2CrCl after structural relaxation.

abc: 3.2737 3.2737 23.5606
angles: 90.00 90.00 120.00
Space group R-3m (No. 166, hexagonal axes)
Unique sites:
Zn1 0.0000 0.0000 0.2491 x6
Cr1 0.0000 0.0000 0.5000 x3
Cl1 0.0000 0.0000 0.0000 x3

Output
DOS(E_F)	0.647	states/eV/atom
energy relative to the lowest polymorph listed for this composition	0.060	eV/atom
E_form (uncorrected)	0.105	eV/atom

Record 3
VASP calculation (PBE) on PuMg6Cd6 after structural relaxation.

abc: 5.855 10.044 10.110
angles: 90.00 90.00 90.00
Space group Immm (No. 71)
Unique sites:
Pu1 0.000 0.000 0.000 x2
Mg1 0.000 0.000 0.350 x4
Mg2 0.000 0.350 0.000 x4
Mg3 0.000 0.500 0.292 x4
Cd1 0.000 0.289 0.500 x4
Cd2 0.250 0.250 0.250 x8

Output
DOS(E_F)	1.428	states/eV/atom
formation enthalpy at 0 K	-0.06	eV per atom

Record 4
VASP calculation (PBE) on CaSbP2 after structural relaxation.

abc: 3.445 5.144 9.574
angles: 90.00 90.00 90.00
Space group Imm2 (No. 44)
Unique sites:
Ca1 0.000 0.000 0.000 x2
Sb1 0.000 0.500 0.209 x2
P1 0.000 0.000 0.457 x2
P2 0.000 0.500 0.788 x2

Output
DOS(E_F)	0.389	states/eV/atom
E_form (uncorrected)	-0.267	eV/atom

Record 5
VASP calculation (PBE) on NiPdS after structural relaxation.

abc: 3.6438 3.6438 3.7035
angles: 90.00 90.00 120.00
Space group P3m1 (No. 156)
Unique sites:
Ni1 0.0000 0.0000 0.0000 x1
Pd1 0.3333 0.6667 0.5648 x1
S1 0.6667 0.3333 0.1729 x1

Output
DOS(E_F)	0.944	states/eV/atom
E_form (uncorrected)	-0.109	eV/atom

Record 6
VASP calculation (PBE) on PmNd4S7 after structural relaxation.

abc: 13.392 3.955 11.939
angles: 90.00 104.96 90.00
Space group Cm (No. 8)
Unique sites:
Pm1 0.000 0.000 0.000 x2
Nd1 0.112 0.000 0.421 x2
Nd2 0.223 0.000 0.843 x2
Nd3 0.311 0.500 0.231 x2
Nd4 0.413 0.000 0.611 x2
S1 0.069 0.000 0.636 x2
S2 0.110 0.500 0.921 x2
S3 0.155 0.000 0.205 x2
S4 0.272 0.500 0.472 x2
S5 0.352 0.500 0.774 x2
S6 0.373 0.000 0.070 x2
S7 0.452 0.000 0.370 x2

Output
DOS(E_F)	0.112	states/eV/atom
E_form (uncorrected)	-2.052	eV/atom